Version A
Here is crystalline TaTlTe at its relaxed geometry from Alexandria via LeMat-Bulk. Energies are from GGA-PBE.

Cell lengths 8.918, 8.705, 3.203 Å; angles 83.29, 75.81, 20.89 degrees
Fractional positions:
Ta1 0.000 0.000 0.000
Tl1 0.651 0.651 0.349
Te1 0.379 0.379 0.621

Results
The volume comes out at 81.32 Å³ per cell. As for the crystal system: orthorhombic.

***

Version B
Here is crystalline TaTlTe at its relaxed geometry from Alexandria via LeMat-Bulk. Energies are from GGA-PBE.

Cell lengths 6.517, 6.517, 6.517 Å; angles 149.17, 149.17, 44.17 degrees
Fractional positions:
Ta1 0.000 0.000 0.000
Tl1 0.337 0.337 0.000
Te1 0.620 0.620 0.000

Results
The volume comes out at 72.52 Å³ per cell. As for the crystal system: tetragonal.

***

Here are the energies relative to the best structure, in meV per atom: version A 104; version B 0.

***

Version A
Here is crystalline TaTlTe at its relaxed geometry from Alexandria via LeMat-Bulk. Energies are from GGA-PBE.

Cell lengths 5.126, 5.126, 3.036 Å; angles 90.00, 90.00, 120.00 degrees
Fractional positions:
Ta1 0.000 0.000 0.000
Tl1 0.667 0.333 0.500
Te1 0.333 0.667 0.000

Results
The volume comes out at 69.08 Å³ per cell. As for the crystal system: hexagonal.

***

Version B
Here is crystalline TaTlTe at its relaxed geometry from Alexandria via LeMat-Bulk. Energies are from GGA-PBE.

Cell lengths 3.467, 3.467, 7.103 Å; angles 90.00, 90.00, 120.00 degrees
Fractional positions:
Ta1 0.000 0.000 0.000
Tl1 0.333 0.667 0.678
Te1 0.667 0.333 0.266

Results
The volume comes out at 73.96 Å³ per cell. As for the crystal system: trigonal.

***

Here are the energies relative to the best structure, in meV per atom: version A 333; version B 0.

***

Version A
Here is crystalline TaTl3Te at its relaxed geometry from Alexandria via LeMat-Bulk. Energies are from GGA-PBE.

Cell lengths 6.012, 6.012, 6.012 Å; angles 90.00, 90.00, 90.00 degrees
Fractional positions:
Ta1 0.000 0.000 0.000
Tl1 0.000 0.500 0.500
Tl2 0.500 0.000 0.500
Tl3 0.500 0.500 0.000
Te1 0.500 0.500 0.500

Results
The volume comes out at 217.30 Å³ per cell. As for the crystal system: cubic.

***

Version B
Here is crystalline TaTl3Te at its relaxed geometry from Alexandria via LeMat-Bulk. Energies are from GGA-PBE.

Cell lengths 5.570, 5.570, 5.570 Å; angles 90.00, 90.00, 90.00 degrees
Fractional positions:
Ta1 0.000 0.000 0.000
Tl1 0.000 0.000 0.500
Tl2 0.000 0.500 0.000
Tl3 0.500 0.000 0.000
Te1 0.500 0.500 0.500

Results
The volume comes out at 172.80 Å³ per cell. As for the crystal system: cubic.

***

Here are the energies relative to the best structure, in meV per atom: version A 722; version B 0.

***

Version A
Here is crystalline TaVTe2 at its relaxed geometry from Alexandria via LeMat-Bulk. Energies are from GGA-PBE.

Cell lengths 9.475, 9.475, 9.475 Å; angles 21.51, 21.51, 21.51 degrees
Fractional positions:
Ta1 0.000 0.000 0.000
V1 0.500 0.500 0.500
Te1 0.402 0.402 0.402
Te2 0.598 0.598 0.598

Results
The volume comes out at 100.19 Å³ per cell. As for the crystal system: trigonal.

***

Version B
Here is crystalline TaVTe2 at its relaxed geometry from Alexandria via LeMat-Bulk. Energies are from GGA-PBE.

Cell lengths 7.665, 7.665, 7.665 Å; angles 131.59, 131.59, 70.87 degrees
Fractional positions:
Ta1 0.000 0.000 0.000
Ta2 0.750 0.250 0.500
V1 0.250 0.750 0.500
V2 0.500 0.500 0.000
Te1 0.129 0.625 0.004
Te2 0.375 0.379 0.504
Te3 0.621 0.125 0.996
Te4 0.875 0.871 0.496

Results
The volume comes out at 246.65 Å³ per cell. As for the crystal system: tetragonal.

***

Here are the energies relative to the best structure, in meV per atom: version A 0; version B 188.

***

Version A
Here is crystalline Ta2VTe6 at its relaxed geometry from Alexandria via LeMat-Bulk. Energies are from GGA-PBE.

Cell lengths 6.861, 7.051, 11.319 Å; angles 90.00, 123.80, 90.00 degrees
Fractional positions:
Ta1 0.209 0.149 0.247
Ta2 0.209 0.351 0.747
Ta3 0.791 0.649 0.253
Ta4 0.791 0.851 0.753
V1 0.000 0.000 0.500
V2 0.000 0.500 0.000
Te1 0.089 0.159 0.925
Te2 0.089 0.341 0.425
Te3 0.267 0.670 0.921
Te4 0.267 0.830 0.421
Te5 0.414 0.010 0.755
Te6 0.414 0.490 0.255
Te7 0.586 0.510 0.745
Te8 0.586 0.990 0.245
Te9 0.733 0.170 0.579
Te10 0.733 0.330 0.079
Te11 0.911 0.659 0.575
Te12 0.911 0.841 0.075

Results
The volume comes out at 455.01 Å³ per cell. As for the crystal system: monoclinic.

***

Version B
Here is crystalline Ta2VTe6 at its relaxed geometry from Alexandria via LeMat-Bulk. Energies are from GGA-PBE.

Cell lengths 9.320, 9.320, 8.567 Å; angles 113.86, 113.86, 22.74 degrees
Fractional positions:
Ta1 0.159 0.159 0.321
Ta2 0.841 0.841 0.679
V1 0.500 0.500 0.000
Te1 0.003 0.003 0.763
Te2 0.330 0.330 0.422
Te3 0.338 0.338 0.921
Te4 0.662 0.662 0.079
Te5 0.670 0.670 0.578
Te6 0.997 0.997 0.237

Results
The volume comes out at 262.05 Å³ per cell. As for the crystal system: monoclinic.

***

Here are the energies relative to the best structure, in meV per atom: version A 235; version B 0.

***

Version A
Here is crystalline TaVTe6 at its relaxed geometry from Alexandria via LeMat-Bulk. Energies are from GGA-PBE.

Cell lengths 7.087, 7.087, 5.969 Å; angles 90.17, 90.17, 127.24 degrees
Fractional positions:
Ta1 0.000 0.000 0.000
V1 0.000 0.000 0.500
Te1 0.044 0.350 0.262
Te2 0.350 0.044 0.262
Te3 0.360 0.360 0.741
Te4 0.640 0.640 0.259
Te5 0.650 0.956 0.738
Te6 0.956 0.650 0.738

Results
The volume comes out at 238.68 Å³ per cell. As for the crystal system: monoclinic.

***

Version B
Here is crystalline TaVTe6 at its relaxed geometry from Alexandria via LeMat-Bulk. Energies are from GGA-PBE.

Cell lengths 6.424, 6.769, 6.942 Å; angles 70.11, 63.19, 62.76 degrees
Fractional positions:
Ta1 0.000 0.000 0.000
V1 0.500 0.500 0.500
Te1 0.043 0.749 0.741
Te2 0.307 0.604 0.184
Te3 0.402 0.116 0.681
Te4 0.598 0.884 0.319
Te5 0.693 0.396 0.816
Te6 0.957 0.251 0.259

Results
The volume comes out at 236.08 Å³ per cell. As for the crystal system: triclinic.

***

Here are the energies relative to the best structure, in meV per atom: version A 0; version B 81.